# 1
# TbSm2In3Te6 | the Alexandria database | PBE | relaxed
# uncorrected energy: -0.1621 hartree per atom
# E_form (uncorrected): -0.98 eV per atom
# crystal system: monoclinic
data_TbSm2In3Te6
_chemical_formula_sum 'Tb2 Sm4 In6 Te12'
_cell_length_a 7.727
_cell_length_b 13.386
_cell_length_c 8.512
_cell_angle_alpha 90.00
_cell_angle_beta 107.62
_cell_angle_gamma 90.00
_symmetry_space_group_name_H-M 'C 1 2/m 1'
_symmetry_Int_Tables_number 12
_symmetry_space_group_name_Hall '-C 2y'
loop_
_atom_site_label
_atom_site_fract_x
_atom_site_fract_y
_atom_site_fract_z
Tb1 0.000 0.000 0.000
Sm1 0.000 0.334 0.000
In1 0.000 0.168 0.500
In2 0.000 0.500 0.500
Te1 0.239 0.165 0.222
Te2 0.245 0.500 0.224

# 2
# TbSm3In3Te8 | the Alexandria database | PBE | relaxed
# uncorrected energy: -0.1652 hartree per atom
# E_form (uncorrected): -1.02 eV per atom
# crystal system: trigonal
data_TbSm3In3Te8
_chemical_formula_sum 'Tb3 Sm9 In9 Te24'
_cell_length_a 8.8841
_cell_length_b 8.8841
_cell_length_c 23.6812
_cell_angle_alpha 90.00
_cell_angle_beta 90.00
_cell_angle_gamma 120.00
_symmetry_space_group_name_H-M 'R -3 m'
_symmetry_Int_Tables_number 166
_symmetry_space_group_name_Hall '-R 3 2"'
loop_
_atom_site_label
_atom_site_fract_x
_atom_site_fract_y
_atom_site_fract_z
Tb1 0.0000 0.0000 0.0000
Sm1 0.0000 0.5000 0.0000
In1 0.0000 0.5000 0.5000
Te1 0.0000 0.0000 0.2560
Te2 0.0029 0.5015 0.7429

# 3
# Tb3Sm3TlIn2 | the Alexandria database | PBE | relaxed
# uncorrected energy: -0.1573 hartree per atom
# crystal system: hexagonal
# energy of formation from the pure elements: -2.6 eV/f.u.
data_Tb3Sm3TlIn2
_chemical_formula_sum 'Tb3 Sm3 Tl1 In2'
_cell_length_a 9.0673
_cell_length_b 9.0673
_cell_length_c 3.7653
_cell_angle_alpha 90.00
_cell_angle_beta 90.00
_cell_angle_gamma 120.00
_symmetry_space_group_name_H-M 'P -6 2 m'
_symmetry_Int_Tables_number 189
_symmetry_space_group_name_Hall 'P -6 -2'
loop_
_atom_site_label
_atom_site_fract_x
_atom_site_fract_y
_atom_site_fract_z
Tb1 0.0000 0.3834 0.0000
Sm1 0.0000 0.7114 0.5000
Tl1 0.0000 0.0000 0.0000
In1 0.3333 0.6667 0.5000

# 4
# Tb3Sm6Tm2In | the Alexandria database | PBE | relaxed
# uncorrected energy: -0.1662 hartree per atom
# crystal system: monoclinic
# energy of formation from the pure elements: -0.4 eV/f.u.
data_Tb3Sm6Tm2In
_chemical_formula_sum 'Tb6 Sm12 Tm4 In2'
_cell_length_a 6.162
_cell_length_b 10.696
_cell_length_c 11.692
_cell_angle_alpha 90.00
_cell_angle_beta 100.25
_cell_angle_gamma 90.00
_symmetry_space_group_name_H-M 'C 1 2/m 1'
_symmetry_Int_Tables_number 12
_symmetry_space_group_name_Hall '-C 2y'
loop_
_atom_site_label
_atom_site_fract_x
_atom_site_fract_y
_atom_site_fract_z
Tb1 0.000 0.000 0.000
Tb2 0.000 0.332 0.000
Sm1 0.245 0.336 0.745
Sm2 0.246 0.500 0.253
Tm1 0.000 0.166 0.500
In1 0.000 0.500 0.500

# 5
# Tb6Sm3Tm2In | the Alexandria database | PBE | relaxed
# uncorrected energy: -0.1655 hartree per atom
# crystal system: monoclinic
# energy of formation from the pure elements: -0.4 eV/f.u.
data_Tb6Sm3Tm2In
_chemical_formula_sum 'Tb12 Sm6 Tm4 In2'
_cell_length_a 6.137
_cell_length_b 10.640
_cell_length_c 11.623
_cell_angle_alpha 90.00
_cell_angle_beta 100.22
_cell_angle_gamma 90.00
_symmetry_space_group_name_H-M 'C 1 2/m 1'
_symmetry_Int_Tables_number 12
_symmetry_space_group_name_Hall '-C 2y'
loop_
_atom_site_label
_atom_site_fract_x
_atom_site_fract_y
_atom_site_fract_z
Tb1 0.244 0.164 0.243
Tb2 0.248 0.000 0.755
Sm1 0.000 0.167 0.500
Sm2 0.000 0.500 0.500
Tm1 0.000 0.334 0.000
In1 0.000 0.000 0.000

# 6
# TbSm5TmIn2 | the Alexandria database | PBE | relaxed
# uncorrected energy: -0.1564 hartree per atom
# crystal system: tetragonal
# energy of formation from the pure elements: -0.1 eV/f.u.
data_TbSm5TmIn2
_chemical_formula_sum 'Tb4 Sm20 Tm4 In8'
_cell_length_a 7.791
_cell_length_b 7.791
_cell_length_c 19.248
_cell_angle_alpha 90.00
_cell_angle_beta 90.00
_cell_angle_gamma 90.00
_symmetry_space_group_name_H-M 'I 4/m c m'
_symmetry_Int_Tables_number 140
_symmetry_space_group_name_Hall '-I 4 2c'
loop_
_atom_site_label
_atom_site_fract_x
_atom_site_fract_y
_atom_site_fract_z
Tb1 0.000 0.000 0.250
Sm1 0.000 0.000 0.000
Sm2 0.201 0.299 0.127
Tm1 0.000 0.500 0.250
In1 0.122 0.378 0.500